(1)
First-principles (PBE-GGA) data for a relaxed CdBrCl2 crystal, as listed in Alexandria.

- Crystal system: orthorhombic
- Uncorrected energy: -1.8842 eV per atom
- Distance to the lowest polymorph of the same formula: 462 meV per atom
- M_tot: 1.0 μB per formula unit

Unit cell a=3.8316 b=9.0406 c=8.7755 alpha=90.00 beta=90.00 gamma=90.00
Space group Cmm2 (No. 35)
Symmetry-distinct sites (fractional):
Cd 0.0000 0.0000 0.0000 (multiplicity 2)
Br 0.0000 0.5000 0.7836 (multiplicity 2)
Cl 0.0000 0.0000 0.5231 (multiplicity 2)
Cl 0.0000 0.5000 0.1888 (multiplicity 2)


(2)
First-principles (PBE-GGA) data for a relaxed Cd2BrCl crystal, as listed in Alexandria.

- Crystal system: cubic
- Uncorrected energy: -1.4408 eV per atom
- Distance to the lowest polymorph of the same formula: 530 meV per atom
- M_tot: 0.0 μB per formula unit

Unit cell a=7.3904 b=7.3904 c=7.3904 alpha=90.00 beta=90.00 gamma=90.00
Space group F-43m (No. 216)
Symmetry-distinct sites (fractional):
Cd 0.0000 0.0000 0.0000 (multiplicity 4)
Cd 0.2500 0.2500 0.2500 (multiplicity 4)
Br 0.0000 0.0000 0.5000 (multiplicity 4)
Cl 0.2500 0.2500 0.7500 (multiplicity 4)


(3)
First-principles (PBE-GGA) data for a relaxed CdBrCl2 crystal, as listed in Alexandria.

- Crystal system: orthorhombic
- Uncorrected energy: -2.0124 eV per atom
- Distance to the lowest polymorph of the same formula: 334 meV per atom
- M_tot: 0.0 μB per formula unit

Unit cell a=3.9832 b=5.4715 c=11.0737 alpha=90.00 beta=90.00 gamma=90.00
Space group Cmmm (No. 65)
Symmetry-distinct sites (fractional):
Cd 0.0000 0.0000 0.0000 (multiplicity 2)
Br 0.0000 0.0000 0.5000 (multiplicity 2)
Cl 0.0000 0.5000 0.1506 (multiplicity 4)


(4)
First-principles (PBE-GGA) data for a relaxed CdBrCl2 crystal, as listed in Alexandria.

- Crystal system: monoclinic
- Uncorrected energy: -2.0758 eV per atom
- Distance to the lowest polymorph of the same formula: 271 meV per atom
- M_tot: 1.0 μB per formula unit

Unit cell a=11.9263 b=3.7433 c=5.9927 alpha=90.00 beta=107.09 gamma=90.00
Space group Cm (No. 8)
Symmetry-distinct sites (fractional):
Cd 0.0000 0.0000 0.0000 (multiplicity 2)
Br 0.3065 0.0000 0.9452 (multiplicity 2)
Cl 0.1237 0.5000 0.2490 (multiplicity 2)
Cl 0.4556 0.0000 0.6520 (multiplicity 2)


(5)
First-principles (PBE-GGA) data for a relaxed Cs3Cd2Br3Cl4 crystal, as listed in Alexandria.

- Crystal system: orthorhombic
- Uncorrected energy: -2.8635 eV per atom
- M_tot: 0.0 μB per formula unit

Unit cell a=5.3905 b=5.5912 c=28.2448 alpha=90.00 beta=90.00 gamma=90.00
Space group Immm (No. 71)
Symmetry-distinct sites (fractional):
Cs 0.0000 0.0000 0.0000 (multiplicity 2)
Cs 0.0000 0.0000 0.1832 (multiplicity 4)
Cd 0.0000 0.0000 0.3989 (multiplicity 4)
Br 0.0000 0.0000 0.5000 (multiplicity 2)
Br 0.0000 0.5000 0.4053 (multiplicity 4)
Cl 0.0000 0.0000 0.3070 (multiplicity 4)
Cl 0.0000 0.5000 0.0991 (multiplicity 4)


(6)
First-principles (PBE-GGA) data for a relaxed CsCdBrCl2 crystal, as listed in Alexandria.

- Crystal system: orthorhombic
- Uncorrected energy: -2.7601 eV per atom
- Distance to the lowest polymorph of the same formula: 55 meV per atom
- M_tot: 0.1 μB per formula unit

Unit cell a=4.4684 b=17.8801 c=8.7431 alpha=90.00 beta=90.00 gamma=90.00
Space group Cmcm (No. 63)
Symmetry-distinct sites (fractional):
Cs 0.0000 0.2105 0.2500 (multiplicity 4)
Cd 0.0000 0.5000 0.0000 (multiplicity 4)
Br 0.0000 0.0018 0.2500 (multiplicity 4)
Cl 0.0000 0.3630 0.0065 (multiplicity 8)


(7)
First-principles (PBE-GGA) data for a relaxed CsCdBr2Cl crystal, as listed in Alexandria.

- Crystal system: tetragonal
- Uncorrected energy: -2.7000 eV per atom
- M_tot: 0.0 μB per formula unit

Unit cell a=5.6093 b=5.6093 c=5.3356 alpha=90.00 beta=90.00 gamma=90.00
Space group P4/mmm (No. 123)
Symmetry-distinct sites (fractional):
Cs 0.0000 0.0000 0.0000 (multiplicity 1)
Cd 0.5000 0.5000 0.5000 (multiplicity 1)
Br 0.0000 0.5000 0.5000 (multiplicity 2)
Cl 0.5000 0.5000 0.0000 (multiplicity 1)


(8)
First-principles (PBE-GGA) data for a relaxed Cs3Cd2Br5Cl2 crystal, as listed in Alexandria.

- Crystal system: tetragonal
- Uncorrected energy: -2.7651 eV per atom
- M_tot: 0.0 μB per formula unit

Unit cell a=5.6347 b=5.6347 c=28.1598 alpha=90.00 beta=90.00 gamma=90.00
Space group I4/mmm (No. 139)
Symmetry-distinct sites (fractional):
Cs 0.0000 0.0000 0.0000 (multiplicity 2)
Cs 0.0000 0.0000 0.1834 (multiplicity 4)
Cd 0.0000 0.0000 0.3986 (multiplicity 4)
Br 0.0000 0.0000 0.5000 (multiplicity 2)
Br 0.0000 0.5000 0.0962 (multiplicity 8)
Cl 0.0000 0.0000 0.3067 (multiplicity 4)


(9)
First-principles (PBE-GGA) data for a relaxed CsCdBrCl2 crystal, as listed in Alexandria.

- Crystal system: tetragonal
- Uncorrected energy: -2.8154 eV per atom
- Distance to the lowest polymorph of the same formula: 0 meV per atom
- M_tot: 0.0 μB per formula unit

Unit cell a=5.3425 b=5.3425 c=5.5811 alpha=90.00 beta=90.00 gamma=90.00
Space group P4/mmm (No. 123)
Symmetry-distinct sites (fractional):
Cs 0.0000 0.0000 0.0000 (multiplicity 1)
Cd 0.5000 0.5000 0.5000 (multiplicity 1)
Br 0.5000 0.5000 0.0000 (multiplicity 1)
Cl 0.0000 0.5000 0.5000 (multiplicity 2)


(10)
First-principles (PBE-GGA) data for a relaxed Cs3Cd2Br2Cl5 crystal, as listed in Alexandria.

- Crystal system: tetragonal
- Uncorrected energy: -2.9272 eV per atom
- M_tot: 0.0 μB per formula unit

Unit cell a=5.3837 b=5.3837 c=28.2601 alpha=90.00 beta=90.00 gamma=90.00
Space group I4/mmm (No. 139)
Symmetry-distinct sites (fractional):
Cs 0.0000 0.0000 0.0000 (multiplicity 2)
Cs 0.0000 0.0000 0.1773 (multiplicity 4)
Cd 0.0000 0.0000 0.4053 (multiplicity 4)
Br 0.0000 0.0000 0.3089 (multiplicity 4)
Cl 0.0000 0.0000 0.5000 (multiplicity 2)
Cl 0.0000 0.5000 0.0913 (multiplicity 8)


(11)
First-principles (PBE-GGA) data for a relaxed CdGaBr4Cl crystal, as listed in Alexandria.

- Crystal system: monoclinic
- Uncorrected energy: -2.6359 eV per atom
- M_tot: 0.0 μB per formula unit

Unit cell a=15.5577 b=7.6822 c=10.4687 alpha=90.00 beta=96.98 gamma=90.00
Space group C2/m (No. 12)
Symmetry-distinct sites (fractional):
Cd 0.0950 0.0000 0.1069 (multiplicity 4)
Ga 0.1248 0.5000 0.2769 (multiplicity 4)
Br 0.0182 0.5000 0.8120 (multiplicity 4)
Br 0.1571 0.5000 0.4956 (multiplicity 4)
Br 0.2031 0.2588 0.1856 (multiplicity 8)
Cl 0.0614 0.0000 0.8620 (multiplicity 4)


(12)
First-principles (PBE-GGA) data for a relaxed CdGaBrCl4 crystal, as listed in Alexandria.

- Crystal system: monoclinic
- Uncorrected energy: -2.8907 eV per atom
- M_tot: 0.0 μB per formula unit

Unit cell a=15.6258 b=7.2745 c=9.7636 alpha=90.00 beta=96.59 gamma=90.00
Space group C2/m (No. 12)
Symmetry-distinct sites (fractional):
Cd 0.0991 0.0000 0.1054 (multiplicity 4)
Ga 0.1347 0.5000 0.2831 (multiplicity 4)
Br 0.0599 0.0000 0.8319 (multiplicity 4)
Cl 0.0010 0.5000 0.1989 (multiplicity 4)
Cl 0.1691 0.5000 0.4996 (multiplicity 4)
Cl 0.2024 0.2605 0.1843 (multiplicity 8)


The records above give, respectively, energy relative to the elements, uncorrected values of -1.255 -0.414 -1.768 -2.022 -17.566 -6.666 -6.539 -16.733 -6.942 -18.156 -5.972 -7.234 eV/f.u..